Here is an optimized crystal structure of LiTa2Os from Alexandria. Energies are from GGA-PBEsol.

a b c (Å): 3.1818 3.1818 5.9779
angles (deg): 90.00 90.00 90.00
Last column: nearest neighbours and their distance in Å.
Positions (direct):
Ta  0.0000  0.0000  0.9765  4 Os 2.70, 1 Li 2.72, 4 Ta 2.87
Ta  0.5000  0.5000  0.2750  4 Li 2.69, 1 Os 2.70, 4 Ta 2.87
Li  0.0000  0.0000  0.5221  4 Os 2.56, 5 Ta 2.69-2.72
Os  0.5000  0.5000  0.7264  4 Li 2.56, 5 Ta 2.70

Output
The calculation puts the uncorrected energy at -38.8 eV per cell.